A geometry-optimized Pr4TlBiO structure. Source: Alexandria, functional GGA-PBE.

DOS(E_F) in states/eV/atom: 1.054
Total DFT energy (no corrections) in eV/atom: -5.49
E_form (uncorrected) in meV/atom: -1158

Geometry as extended XYZ:
```
14
Lattice="-5.070 -4.364 -0.956 4.209 -4.231 -3.011 4.363 -1.695 8.481" Properties=species:S:1:pos:R:3 pbc="T T T"
Pr -1.190 -3.860 0.050
O -0.712 -4.876 2.147
Tl 1.462 -1.927 1.041
Bi 1.024 -6.209 -0.972
Tl 2.040 -8.363 3.473
Pr 1.751 -5.145 2.257
Pr 4.692 -6.429 4.464
Pr 4.286 -2.963 2.735
Pr 3.395 -3.679 -1.214
Pr -0.354 -3.030 3.762
Pr 0.106 -6.611 5.729
Bi 2.477 -4.080 5.487
O 4.213 -5.414 2.367
Pr 2.181 -0.848 4.241
```

A geometry-optimized KSc2Ag structure. Source: Alexandria, functional GGA-PBE.

DOS(E_F) in states/eV/atom: 1.352
Formation energy in meV per atom: 498
Total DFT energy (no corrections) in eV/atom: -3.66

Geometry as extended XYZ:
```
4
Lattice="-2.266 -2.980 -3.761 0.442 -3.622 2.603 -4.028 0.798 1.795" Properties=species:S:1:pos:R:3 pbc="T T T"
K -3.147 -1.091 -0.983
Ag -0.912 -3.301 -0.579
Sc -1.793 -1.412 2.199
Sc 0.000 0.000 0.000
```

A geometry-optimized Tb3Ho3Sc5 structure. Source: Alexandria, functional GGA-PBE.

DOS(E_F) in states/eV/atom: 1.594
Formation energy in meV per atom: 812
Total DFT energy (no corrections) in eV/atom: -4.58

Geometry as extended XYZ:
```
11
Lattice="-1.444 -5.105 -1.036 6.490 -0.577 -6.206 1.735 -2.224 8.545" Properties=species:S:1:pos:R:3 pbc="T T T"
Sc 1.284 -3.236 0.053
Sc 4.183 -3.678 -1.807
Tb 3.194 -1.088 0.908
Ho -0.060 -3.401 2.743
Sc 0.590 -4.234 5.943
Sc 4.185 -2.989 -5.210
Tb 3.970 -0.353 -3.796
Tb 1.061 -1.361 5.227
Ho 4.364 -4.284 0.928
Sc 2.598 -4.227 3.110
Ho 1.755 -2.773 -2.886
```

A geometry-optimized Ca2AcAs structure. Source: Alexandria, functional GGA-PBE.

DOS(E_F) in states/eV/atom: 0.670
Formation energy in meV per atom: -524
Total DFT energy (no corrections) in eV/atom: -3.71

Geometry as extended XYZ:
```
4
Lattice="-0.119 -1.169 -4.048 1.975 -3.512 -1.238 -7.792 -6.922 0.033" Properties=species:S:1:pos:R:3 pbc="T T T"
Ca -5.281 -9.231 -3.763
As 0.000 0.000 0.000
Ac -2.968 -5.802 -2.627
Ca -0.655 -2.372 -1.490
```

A geometry-optimized PmTiBeRh2 structure. Source: Alexandria, functional GGA-PBE.

DOS(E_F) in states/eV/atom: 0.639
Formation energy in meV per atom: -601
Total DFT energy (no corrections) in eV/atom: -6.82

Geometry as extended XYZ:
```
5
Lattice="-1.655 -0.794 3.460 2.505 -2.966 0.517 3.247 5.430 0.582" Properties=species:S:1:pos:R:3 pbc="T T T"
Pm 0.000 0.000 0.000
Be 1.009 1.378 3.016
Ti 3.089 0.292 1.544
Rh 1.304 -1.031 2.604
Rh 2.793 2.700 1.956
```

A geometry-optimized ThAl2Rh structure. Source: Alexandria, functional GGA-PBE.

DOS(E_F) in states/eV/atom: 0.722
Formation energy in meV per atom: -683
Total DFT energy (no corrections) in eV/atom: -6.25

Geometry as extended XYZ:
```
4
Lattice="4.226 0.000 0.000 2.113 3.660 0.000 2.113 1.220 5.345" Properties=species:S:1:pos:R:3 pbc="T T T"
Rh 4.226 2.440 2.673
Al 6.339 3.660 3.319
Th 0.000 0.000 0.000
Al 2.113 1.220 2.026
```

A geometry-optimized CaTlBiCl6 structure. Source: Alexandria, functional GGA-PBE.

DOS(E_F) in states/eV/atom: 0.000
Total DFT energy (no corrections) in eV/atom: -3.64
E_form (uncorrected) in meV/atom: -1496

Geometry as extended XYZ:
```
18
Lattice="7.196 0.000 0.000 -3.598 6.232 0.000 0.000 0.000 13.855" Properties=species:S:1:pos:R:3 pbc="T T T"
Cl 1.315 2.307 11.934
Cl 4.914 3.926 5.006
Cl 2.283 3.926 1.921
Cl 1.340 2.293 5.006
Tl 0.000 0.000 6.927
Ca 0.000 4.155 3.464
Bi 0.000 4.155 10.391
Cl 0.943 6.218 11.934
Cl -0.943 6.218 8.849
Cl 5.856 2.293 1.921
Bi 3.598 2.077 3.464
Cl -2.258 3.940 11.934
Tl 0.000 0.000 0.000
Cl 2.655 0.014 1.921
Cl 4.541 0.014 5.006
Ca 3.598 2.077 10.391
Cl -1.315 2.307 8.849
Cl 2.258 3.940 8.849
```

A geometry-optimized CuHgRh2 structure. Source: Alexandria, functional GGA-PBE.

DOS(E_F) in states/eV/atom: 1.199
Formation energy in meV per atom: 257
Total DFT energy (no corrections) in eV/atom: -4.52

Geometry as extended XYZ:
```
4
Lattice="-4.306 0.221 -1.121 -1.444 -2.011 -3.704 -2.567 -3.630 0.292" Properties=species:S:1:pos:R:3 pbc="T T T"
Rh 0.000 0.000 0.000
Rh -6.238 -4.065 -3.399
Hg -2.079 -1.355 -1.133
Cu -4.159 -2.710 -2.266
```